# 1
The following is a DFT calculation (PBE) of crystalline CrRe2Br at its relaxed geometry.

Summary:
- total DFT energy (no corrections) (eV for the cell shown) = -126.2
- raw formation energy (eV per atom) = 1.16

a = 6.209 Å, b = 6.209 Å, c = 6.209 Å
α = 90.00°, β = 90.00°, γ = 90.00°
Space group Fm-3m (No. 225)
Asymmetric unit:
1 Cr 0.000 0.000 0.000 [4 per cell]
2 Re 0.250 0.250 0.250 [8 per cell]
3 Br 0.000 0.000 0.500 [4 per cell]

=====

# 2
The following is a DFT calculation (PBE) of crystalline CrRe2Br at its relaxed geometry.

Summary:
- total DFT energy (no corrections) (eV for the cell shown) = -62.7
- raw formation energy (eV per atom) = 1.21

a = 4.392 Å, b = 4.392 Å, c = 6.268 Å
α = 90.00°, β = 90.00°, γ = 90.00°
Space group I-4m2 (No. 119)
Asymmetric unit:
1 Cr 0.000 0.000 0.000 [2 per cell]
2 Re 0.000 0.000 0.500 [2 per cell]
3 Re 0.000 0.500 0.750 [2 per cell]
4 Br 0.000 0.500 0.250 [2 per cell]

=====

# 3
The following is a DFT calculation (PBE) of crystalline CrReBr at its relaxed geometry.

Summary:
- total DFT energy (no corrections) (eV for the cell shown) = -80.4
- raw formation energy (eV per atom) = 1.22

a = 5.864 Å, b = 5.864 Å, c = 5.864 Å
α = 90.00°, β = 90.00°, γ = 90.00°
Space group F-43m (No. 216)
Asymmetric unit:
1 Cr 0.000 0.000 0.000 [4 per cell]
2 Re 0.250 0.250 0.250 [4 per cell]
3 Br 0.250 0.250 0.750 [4 per cell]

=====

# 4
The following is a DFT calculation (PBE) of crystalline CrReBr2 at its relaxed geometry.

Summary:
- total DFT energy (no corrections) (eV for the cell shown) = -78.8
- raw formation energy (eV per atom) = 1.43

a = 6.315 Å, b = 6.315 Å, c = 6.315 Å
α = 90.00°, β = 90.00°, γ = 90.00°
Space group Fm-3m (No. 225)
Asymmetric unit:
1 Cr 0.000 0.000 0.000 [4 per cell]
2 Re 0.000 0.000 0.500 [4 per cell]
3 Br 0.250 0.250 0.250 [8 per cell]

=====

# 5
The following is a DFT calculation (PBE) of crystalline CrRe2Br at its relaxed geometry.

Summary:
- total DFT energy (no corrections) (eV for the cell shown) = -31.8
- raw formation energy (eV per atom) = 1.10

a = 4.461 Å, b = 4.461 Å, c = 2.981 Å
α = 90.00°, β = 90.00°, γ = 90.00°
Space group P4/mmm (No. 123)
Asymmetric unit:
1 Cr 0.000 0.000 0.000 [1 per cell]
2 Re 0.000 0.500 0.500 [2 per cell]
3 Br 0.500 0.500 0.000 [1 per cell]

=====

# 6
The following is a DFT calculation (PBE) of crystalline CrRe2Br at its relaxed geometry.

Summary:
- total DFT energy (no corrections) (eV for the cell shown) = -31.0
- raw formation energy (eV per atom) = 1.29

a = 3.626 Å, b = 3.626 Å, c = 5.276 Å
α = 90.00°, β = 90.00°, γ = 90.00°
Space group P4/mmm (No. 123)
Asymmetric unit:
1 Cr 0.000 0.000 0.000 [1 per cell]
2 Re 0.000 0.500 0.500 [2 per cell]
3 Br 0.500 0.500 0.000 [1 per cell]

=====

# 7
The following is a DFT calculation (PBE) of crystalline CrRe2Br at its relaxed geometry.

Summary:
- total DFT energy (no corrections) (eV for the cell shown) = -66.4
- raw formation energy (eV per atom) = 0.75

a = 7.751 Å, b = 3.044 Å, c = 6.994 Å
α = 90.00°, β = 93.64°, γ = 90.00°
Space group Cm (No. 8)
Asymmetric unit:
1 Cr 0.000 0.000 0.000 [2 per cell]
2 Re 0.225 0.500 0.169 [2 per cell]
3 Re 0.451 0.000 0.332 [2 per cell]
4 Br 0.007 0.000 0.648 [2 per cell]

=====

# 8
The following is a DFT calculation (PBE) of crystalline CrRe2Br at its relaxed geometry.

Summary:
- total DFT energy (no corrections) (eV for the cell shown) = -33.8
- raw formation energy (eV per atom) = 0.59

a = 3.016 Å, b = 3.016 Å, c = 7.388 Å
α = 90.00°, β = 90.00°, γ = 90.00°
Space group P4mm (No. 99)
Asymmetric unit:
1 Cr 0.000 0.000 0.000 [1 per cell]
2 Re 0.000 0.000 0.442 [1 per cell]
3 Re 0.500 0.500 0.242 [1 per cell]
4 Br 0.500 0.500 0.741 [1 per cell]